one | First-principles (GGA+U) data for a geometry-optimized NbVNO structure, as listed in Alexandria.

Structure (CIF):
```
data_NbVNO
_chemical_formula_sum 'Nb1 V1 N1 O1'
_symmetry_space_group_name_H-M 'P 1'
_symmetry_Int_Tables_number 1
_symmetry_space_group_name_Hall 'P 1'
_cell_length_a 2.947
_cell_length_b 3.024
_cell_length_c 5.348
_cell_angle_alpha 90.00
_cell_angle_beta 90.00
_cell_angle_gamma 90.00
loop_
_atom_site_label
_atom_site_fract_x
_atom_site_fract_y
_atom_site_fract_z
Nb1 0.000 0.000 0.000
V1 0.500 0.500 0.530
N1 0.500 0.500 0.886
O1 0.500 0.000 0.296
```

Output
Calculated volume in Å³ per atom: 11.9
N(E_F) in states/eV per cell: 1.5

***

two | First-principles (GGA+U) data for a geometry-optimized NbVNO structure, as listed in Alexandria.

Structure (CIF):
```
data_NbVNO
_chemical_formula_sum 'Nb1 V1 N1 O1'
_symmetry_space_group_name_H-M 'P 1'
_symmetry_Int_Tables_number 1
_symmetry_space_group_name_Hall 'P 1'
_cell_length_a 2.890
_cell_length_b 3.969
_cell_length_c 4.042
_cell_angle_alpha 90.00
_cell_angle_beta 110.48
_cell_angle_gamma 90.00
loop_
_atom_site_label
_atom_site_fract_x
_atom_site_fract_y
_atom_site_fract_z
Nb1 0.000 0.000 0.000
V1 0.297 0.500 0.529
N1 0.589 0.500 0.104
O1 0.287 0.000 0.570
```

Output
Calculated volume in Å³ per atom: 10.9
N(E_F) in states/eV per cell: 1.2

***

three | First-principles (GGA+U) data for a geometry-optimized NbVNO structure, as listed in Alexandria.

Structure (CIF):
```
data_NbVNO
_chemical_formula_sum 'Nb1 V1 N1 O1'
_symmetry_space_group_name_H-M 'P 1'
_symmetry_Int_Tables_number 1
_symmetry_space_group_name_Hall 'P 1'
_cell_length_a 3.158
_cell_length_b 3.158
_cell_length_c 5.452
_cell_angle_alpha 90.00
_cell_angle_beta 90.00
_cell_angle_gamma 120.00
loop_
_atom_site_label
_atom_site_fract_x
_atom_site_fract_y
_atom_site_fract_z
Nb1 0.000 0.000 0.000
V1 0.667 0.333 0.401
N1 0.333 0.667 0.247
O1 0.667 0.333 0.775
```

Output
Calculated volume in Å³ per atom: 11.8
N(E_F) in states/eV per cell: 1.6

***

four | First-principles (GGA+U) data for a geometry-optimized NbVNO structure, as listed in Alexandria.

Structure (CIF):
```
data_NbVNO
_chemical_formula_sum 'Nb1 V1 N1 O1'
_symmetry_space_group_name_H-M 'P 1'
_symmetry_Int_Tables_number 1
_symmetry_space_group_name_Hall 'P 1'
_cell_length_a 5.810
_cell_length_b 5.810
_cell_length_c 5.810
_cell_angle_alpha 30.21
_cell_angle_beta 30.21
_cell_angle_gamma 30.21
loop_
_atom_site_label
_atom_site_fract_x
_atom_site_fract_y
_atom_site_fract_z
Nb1 0.000 0.000 0.000
V1 0.176 0.176 0.176
N1 0.588 0.588 0.588
O1 0.753 0.753 0.753
```

Output
Calculated volume in Å³ per atom: 11.0
N(E_F) in states/eV per cell: 0.1

***

How do the energies compare? Relative to the most stable structure, in kJ/mol of atoms: one 16.3; two 33.0; three 12.9; four 0.0.